Model w:
Compound: CrReI2
Source: Alexandria
Functional: PBE-GGA
Structure: relaxed

Lattice parameters (Å, degrees): 4.7056 4.7056 4.7056 60.00 60.00 60.00
Last column: nearest neighbours and their distance in Å.
Fractional coordinates of all 4 atoms:
I 0.2500 0.2500 0.2500  4 Cr 2.88, 4 Re 2.88
I 0.7500 0.7500 0.7500  4 Cr 2.88, 4 Re 2.88
Re 0.5000 0.5000 0.5000  8 I 2.88
Cr 0.0000 0.0000 0.0000  8 I 2.88

Output
spin magnetization = 0.00 μB/cell

Model x:
Compound: CrReI2
Source: Alexandria
Functional: PBE-GGA
Structure: relaxed

Lattice parameters (Å, degrees): 5.9032 5.9032 7.2324 65.91 65.91 90.00
Last column: nearest neighbours and their distance in Å.
Fractional coordinates of all 8 atoms:
I 0.6150 0.1250 0.2500  2 Cr 2.52, 2 Re 2.59
I 0.1350 0.6250 0.2500  2 Cr 2.52, 2 Re 2.59
I 0.3750 0.3850 0.7500  2 Cr 2.52, 2 Re 2.59
I 0.8750 0.8650 0.7500  2 Cr 2.52, 2 Re 2.59
Re 0.0000 0.0000 0.0000  4 I 2.59
Re 0.7500 0.2500 0.5000  4 I 2.59
Cr 0.5000 0.5000 0.0000  4 I 2.52
Cr 0.2500 0.7500 0.5000  4 I 2.52

Output
spin magnetization = 0.53 μB/cell

Which one is most stable, and which one is least stable? model w is the most stable of them, while model x is the least stable.

Model w:
Compound: Cr3ReI
Source: Alexandria
Functional: PBE-GGA
Structure: relaxed

Lattice parameters (Å, degrees): 4.5115 4.5115 4.5115 90.00 90.00 90.00
Last column: nearest neighbours and their distance in Å.
Fractional coordinates of all 5 atoms:
I 0.0000 0.0000 0.0000  6 Cr 2.26
Re 0.5000 0.5000 0.5000  12 Cr 3.19
Cr 0.0000 0.5000 0.0000  2 I 2.26
Cr 0.0000 0.0000 0.5000  2 I 2.26
Cr 0.5000 0.0000 0.0000  2 I 2.26

Output
spin magnetization = 0.00 μB/cell

Model x:
Compound: Cr3ReI
Source: Alexandria
Functional: PBE-GGA
Structure: relaxed

Lattice parameters (Å, degrees): 4.8427 4.8427 4.8427 90.00 90.00 90.00
Last column: nearest neighbours and their distance in Å.
Fractional coordinates of all 5 atoms:
I 0.5000 0.5000 0.5000  12 Cr 3.42
Re 0.0000 0.0000 0.0000  6 Cr 2.42
Cr 0.0000 0.5000 0.0000  2 Re 2.42
Cr 0.0000 0.0000 0.5000  2 Re 2.42
Cr 0.5000 0.0000 0.0000  2 Re 2.42

Output
spin magnetization = 9.65 μB/cell

Which one is most stable, and which one is least stable? model x is the most stable of them, while model w is the least stable.

Model w:
Compound: Cr2RhI
Source: Alexandria
Functional: PBE-GGA
Structure: relaxed

Lattice parameters (Å, degrees): 4.3681 4.3681 4.3681 60.00 60.00 60.00
Last column: nearest neighbours and their distance in Å.
Fractional coordinates of all 4 atoms:
I 0.5000 0.5000 0.5000  8 Cr 2.67
Cr 0.2500 0.2500 0.2500  4 I 2.67, 4 Rh 2.67
Cr 0.7500 0.7500 0.7500  4 I 2.67, 4 Rh 2.67
Rh 0.0000 0.0000 0.0000  8 Cr 2.67

Output
spin magnetization = 0.00 μB/cell

Model x:
Compound: Cr2RhI
Source: Alexandria
Functional: PBE-GGA
Structure: relaxed

Lattice parameters (Å, degrees): 6.8623 6.8623 6.1683 56.20 56.20 90.00
Last column: nearest neighbours and their distance in Å.
Fractional coordinates of all 8 atoms:
I 0.0000 0.0000 0.0000  4 Cr 2.80
I 0.7500 0.2500 0.5000  4 Cr 2.80
Cr 0.5844 0.1250 0.2500  2 Rh 2.43
Cr 0.1656 0.6250 0.2500  2 Rh 2.43
Cr 0.3750 0.4156 0.7500  2 Rh 2.43
Cr 0.8750 0.8344 0.7500  2 Rh 2.43
Rh 0.5000 0.5000 0.0000  4 Cr 2.43
Rh 0.2500 0.7500 0.5000  4 Cr 2.43

Output
spin magnetization = 14.62 μB/cell

Which one is most stable, and which one is least stable? model w is the most stable of them, while model x is the least stable.

Model w:
Compound: CrSbRuI2
Source: Alexandria
Functional: PBE-GGA
Structure: relaxed

Lattice parameters (Å, degrees): 5.5650 5.5650 4.9708 90.00 90.00 90.00
Last column: nearest neighbours and their distance in Å.
Fractional coordinates of all 5 atoms:
I 0.0000 0.5000 0.0000  2 Ru 2.78
I 0.5000 0.0000 0.0000  2 Ru 2.78
Sb 0.0000 0.0000 0.5000  2 Ru 2.49
Cr 0.5000 0.5000 0.5000  8 I 3.73, 4 Sb 3.94
Ru 0.0000 0.0000 0.0000  2 Sb 2.49, 4 I 2.78

Output
spin magnetization = 4.81 μB/cell

Model x:
Compound: CrSbRuI2
Source: Alexandria
Functional: PBE-GGA
Structure: relaxed

Lattice parameters (Å, degrees): 5.3017 5.3017 5.1802 90.00 90.00 90.00
Last column: nearest neighbours and their distance in Å.
Fractional coordinates of all 5 atoms:
I 0.0000 0.5000 0.0000  2 Cr 2.65
I 0.5000 0.0000 0.0000  2 Cr 2.65
Sb 0.0000 0.0000 0.5000  2 Cr 2.59
Cr 0.0000 0.0000 0.0000  2 Sb 2.59, 4 I 2.65
Ru 0.5000 0.5000 0.5000  8 I 3.71, 4 Sb 3.75

Output
spin magnetization = 3.05 μB/cell

Which one is most stable, and which one is least stable? model w is the most stable of them, while model x is the least stable.